# Cs3NaI

An optimized crystal structure of Cs3NaI (GGA-PBEsol, Alexandria).

Properties
SG: Pm-3m (221)
Raw total energy, eV per atom: -1.741
ΔE_f (raw), eV/atom: -0.542
D(E_F), states/eV per cell: 3.276
Total magnetic moment, μB per formula unit: 0.00

a = 7.3661 Å, b = 7.3661 Å, c = 7.3661 Å
α = 90.00°, β = 90.00°, γ = 90.00°
Closest atoms and distances in Å follow each position.
Atoms (fractional coordinates):
Cs 0.0000 0.0000 0.5000  2 I 3.68
Cs 0.0000 0.5000 0.0000  2 I 3.68
Cs 0.5000 0.0000 0.0000  2 I 3.68
Na 0.5000 0.5000 0.5000  12 Cs 5.21
I 0.0000 0.0000 0.0000  6 Cs 3.68